Compound: SbAs2Os
Source: Alexandria via LeMat-Bulk
Functional: GGA-PBEsol
Structure: relaxed

Results
Symmetry: C2/m
Crystal system: monoclinic
Density of states at the Fermi level in states/eV/cell: 2.074
Electronic total energy in eV/atom: -6.558
Total moment in μB per cell: 0.00
V in Å³ per atom: 21.842

Cell lengths 3.0181, 3.8429, 8.4535 Å; angles 103.15, 90.00, 113.12 degrees
With the nearest neighbours (Å) after each atom.
Fractional positions:
Sb (0.5000, 0.0000, 0.5000)  2 As 2.80, 2 Sb 3.02
Os (0.0000, 0.0000, 0.0000)  6 As 2.47-2.48
As (0.6571, 0.3141, 0.8377)  3 Os 2.47-2.48
As (0.3429, 0.6859, 0.1623)  3 Os 2.47-2.48

---

Compound: SbAs2Os
Source: Alexandria via LeMat-Bulk
Functional: GGA-PBEsol
Structure: relaxed

Results
Symmetry: Cmm2
Crystal system: orthorhombic
Density of states at the Fermi level in states/eV/cell: 2.646
Electronic total energy in eV/atom: -6.208
Total moment in μB per cell: 0.00
V in Å³ per atom: 18.745

Cell lengths 2.9773, 2.9773, 9.6391 Å; angles 90.00, 90.00, 118.65 degrees
With the nearest neighbours (Å) after each atom.
Fractional positions:
Sb (0.5000, 0.5000, 0.2753)  2 Os 2.78, 6 Sb 2.98-3.04
As (0.5000, 0.5000, 0.7182)  2 Os 2.46
As (0.0000, 0.0000, 0.9895)  8 As 2.98-3.04, 2 Sb 3.15
Os (0.0000, 0.0000, 0.5170)  2 As 2.46

---

Compound: SbAsOsSe2
Source: Alexandria via LeMat-Bulk
Functional: GGA-PBEsol
Structure: relaxed

Results
Symmetry: P4/mmm
Crystal system: tetragonal
Density of states at the Fermi level in states/eV/cell: 5.678
Electronic total energy in eV/atom: -4.051
Total moment in μB per cell: 3.71
V in Å³ per atom: 26.926

Cell lengths 5.0942, 5.0942, 5.1879 Å; angles 90.00, 90.00, 90.00 degrees
With the nearest neighbours (Å) after each atom.
Fractional positions:
Se (0.0000, 0.5000, 0.0000)  2 Sb 2.55
Se (0.5000, 0.0000, 0.0000)  2 Sb 2.55
Sb (0.0000, 0.0000, 0.0000)  4 Se 2.55, 2 As 2.59
Os (0.5000, 0.5000, 0.5000)  4 As 3.60, 8 Se 3.64
As (0.0000, 0.0000, 0.5000)  2 Sb 2.59

---

Compound: ScAs3Os
Source: Alexandria via LeMat-Bulk
Functional: GGA-PBEsol
Structure: relaxed

Results
ΔE_f in eV per atom: 1.408
Symmetry: Pm-3m
Crystal system: cubic
Density of states at the Fermi level in states/eV/cell: 7.888
Electronic total energy in eV/atom: -5.420
Total moment in μB per cell: 2.08
V in Å³ per atom: 22.973

Cell lengths 4.8610, 4.8610, 4.8610 Å; angles 90.00, 90.00, 90.00 degrees
With the nearest neighbours (Å) after each atom.
Fractional positions:
Sc (0.0000, 0.0000, 0.0000)  6 As 2.43
As (0.0000, 0.0000, 0.5000)  2 Sc 2.43
As (0.5000, 0.0000, 0.0000)  2 Sc 2.43
As (0.0000, 0.5000, 0.0000)  2 Sc 2.43
Os (0.5000, 0.5000, 0.5000)  12 As 3.44